[1]
This record from the Alexandria database describes crystalline Ho3In4Hg4 at its relaxed geometry. The functional is PBE.

Results
Total moment = 0.0 μB per cell
Formation enthalpy at 0 K = -0.24 eV/atom
Raw total energy = -57.12 eV/cell

Cell: 4.439 7.707 16.290 Å, 90.00 90.00 90.00°
Space group Immm (No. 71)
Symmetry-distinct sites (fractional):
Ho: 0.000 0.000 0.000 (multiplicity 2)
Ho: 0.000 0.500 0.116 (multiplicity 4)
In: 0.000 0.305 0.338 (multiplicity 8)
Hg: 0.000 0.000 0.231 (multiplicity 4)
Hg: 0.000 0.191 0.500 (multiplicity 4)

=====

[2]
This record from the Alexandria database describes crystalline HoInHg6 at its relaxed geometry. The functional is PBE.

Results
Total moment = 0.0 μB per cell
Formation enthalpy at 0 K = -0.15 eV/atom
Raw total energy = -10.35 eV/cell
Relative energy among the computed polymorphs = 0 meV per atom

Cell: 4.799 4.799 8.614 Å, 90.00 90.00 90.00°
Space group P4/mmm (No. 123)
Symmetry-distinct sites (fractional):
Ho: 0.000 0.000 0.000 (multiplicity 1)
In: 0.000 0.000 0.500 (multiplicity 1)
Hg: 0.000 0.500 0.248 (multiplicity 4)
Hg: 0.500 0.500 0.000 (multiplicity 1)
Hg: 0.500 0.500 0.500 (multiplicity 1)

=====

[3]
This record from the Alexandria database describes crystalline Ho4InHg5 at its relaxed geometry. The functional is PBE.

Results
Total moment = 0.0 μB per cell
Formation enthalpy at 0 K = -0.40 eV/atom
Raw total energy = -26.60 eV/cell

Cell: 3.739 3.739 18.023 Å, 90.00 90.00 90.00°
Space group P4/mmm (No. 123)
Symmetry-distinct sites (fractional):
Ho: 0.000 0.000 0.102 (multiplicity 2)
Ho: 0.000 0.000 0.306 (multiplicity 2)
In: 0.000 0.000 0.500 (multiplicity 1)
Hg: 0.500 0.500 0.000 (multiplicity 1)
Hg: 0.500 0.500 0.200 (multiplicity 2)
Hg: 0.500 0.500 0.400 (multiplicity 2)

=====

[4]
This record from the Alexandria database describes crystalline Ho3InHg3 at its relaxed geometry. The functional is PBE.

Results
Total moment = 0.0 μB per cell
Formation enthalpy at 0 K = -0.35 eV/atom
Raw total energy = -39.64 eV/cell
Relative energy among the computed polymorphs = 0 meV per atom

Cell: 9.1009 9.1009 5.0797 Å, 90.00 90.00 120.00°
Space group P6_3/m (No. 176)
Symmetry-distinct sites (fractional):
Ho: 0.1022 0.4473 0.2500 (multiplicity 6)
In: 0.3333 0.6667 0.7500 (multiplicity 2)
Hg: 0.0385 0.2397 0.7500 (multiplicity 6)

=====

Question: Number 3 is which compound?
Answer: Ho4InHg5